Entry 1:
The following is a PBE calculation of a relaxed AcCdAs2Pt5 crystal, from Alexandria.

Structure (POSCAR):
```
AcCdAs2Pt5
1.0
4.2394 0.0000 0.0000
0.0000 4.2394 0.0000
0.0000 0.0000 10.9848
Ac Cd As Pt
1 1 2 5
Cartesian
0.0000 0.0000 5.4924 Ac
0.0000 0.0000 0.0000 Cd
2.1197 2.1197 3.0837 As
2.1197 2.1197 7.9011 As
0.0000 2.1197 1.8801 Pt
2.1197 0.0000 1.8801 Pt
0.0000 2.1197 9.1047 Pt
2.1197 0.0000 9.1047 Pt
2.1197 2.1197 5.4924 Pt
```

Properties
DOS(E_F) = 4.91 states/eV/cell
SG = No. 123
Crystal system = tetragonal
Total moment = 0.00 μB/f.u.
Calculated density = 12.319 g/cm³
Calculated volume = 197.4 Å³/cell
Formation enthalpy at 0 K = -452 meV/atom



Entry 2:
The following is a PBE calculation of a relaxed CaNbGe crystal, from Alexandria.

Structure (POSCAR):
```
CaNbGe
1.0
5.2728 0.0000 0.0000
0.0000 6.0394 0.0000
0.0000 0.0000 8.0056
Nb Ca Ge
4 4 4
Cartesian
1.3182 1.5098 6.0042 Nb
1.3182 4.5295 2.0014 Nb
3.9546 4.5295 2.0014 Nb
3.9546 1.5098 6.0042 Nb
0.0000 1.5098 0.9412 Ca
0.0000 4.5295 7.0643 Ca
2.6364 4.5295 4.9440 Ca
2.6364 1.5098 3.0615 Ca
0.0000 0.0000 4.0028 Ge
0.0000 3.0197 4.0028 Ge
2.6364 3.0197 0.0000 Ge
2.6364 0.0000 0.0000 Ge
```

Properties
DOS(E_F) = 3.40 states/eV/cell
SG = No. 74
Crystal system = orthorhombic
Total moment = 0.00 μB/f.u.
Calculated density = 5.357 g/cm³
Calculated volume = 254.9 Å³/cell
Formation enthalpy at 0 K = -261 meV/atom



Entry 3:
The following is a PBE calculation of a relaxed ScNi crystal, from Alexandria.

Structure (POSCAR):
```
ScNi
1.0
-0.0408 1.6589 3.0577
-2.2762 -2.5562 -0.6227
2.1890 -2.2543 1.2522
Ni Sc
1 1
Cartesian
0.0000 0.0000 0.0000 Ni
-0.4365 -2.2783 1.2302 Sc
```

Properties
DOS(E_F) = 1.71 states/eV/cell
SG = No. 187
Crystal system = hexagonal
Total moment = 0.00 μB/f.u.
Calculated density = 4.855 g/cm³
Calculated volume = 35.5 Å³/cell
Formation enthalpy at 0 K = -207 meV/atom



Entry 4:
The following is a PBE calculation of a relaxed CuSb2Os crystal, from Alexandria.

Structure (POSCAR):
```
CuSb2Os
1.0
-1.9486 1.5541 2.0004
0.5341 -2.1876 2.2198
6.1033 4.2316 2.6579
Cu Os Sb
1 1 2
Cartesian
0.6851 1.2880 2.2196 Cu
4.0038 2.3100 4.6585 Os
6.0492 3.5493 3.1352 Sb
3.3729 1.7042 1.9616 Sb
```

Properties
DOS(E_F) = 2.53 states/eV/cell
SG = No. 10
Crystal system = monoclinic
Total moment = 0.00 μB/f.u.
Calculated density = 10.360 g/cm³
Polymorph energy (0 for the lowest one) = 0.110 eV/atom
Calculated volume = 79.7 Å³/cell
E_form (uncorrected) = 39.4 kJ/mol of atoms



Entry 5:
The following is a PBE calculation of a relaxed Rb2CSeCl6 crystal, from Alexandria.

Structure (POSCAR):
```
Rb2CSeCl6
1.0
7.2551 0.0000 0.0000
0.0000 7.2551 0.0000
3.6275 3.6275 4.5469
C Se Rb Cl
1 1 2 6
Cartesian
3.6275 3.6275 0.0000 C
0.0000 0.0000 0.0000 Se
7.2551 3.6275 2.2735 Rb
3.6275 7.2551 2.2735 Rb
3.6275 3.6275 2.0999 Cl
7.2551 7.2551 2.4470 Cl
1.8985 1.8985 0.0000 Cl
5.3566 5.3566 0.0000 Cl
5.3566 1.8985 0.0000 Cl
1.8985 5.3566 0.0000 Cl
```

Properties
DOS(E_F) = 3.98 states/eV/cell
SG = No. 139
Crystal system = tetragonal
Total moment = 0.00 μB/f.u.
Calculated density = 3.293 g/cm³
Calculated volume = 239.3 Å³/cell
E_form (uncorrected) = -35.8 kJ/mol of atoms



Entry 6:
The following is a PBE calculation of a relaxed Li5PtAu4 crystal, from Alexandria.

Structure (POSCAR):
```
Li5PtAu4
1.0
3.0393 0.0000 0.0000
0.0000 3.0393 0.0000
0.0000 0.0000 16.0250
Li Pt Au
5 1 4
Cartesian
1.5196 1.5196 1.4539 Li
1.5196 1.5196 4.7276 Li
1.5196 1.5196 8.0125 Li
1.5196 1.5196 11.2974 Li
1.5196 1.5196 14.5711 Li
0.0000 0.0000 0.0000 Pt
0.0000 0.0000 3.0924 Au
0.0000 0.0000 6.3633 Au
0.0000 0.0000 9.6617 Au
0.0000 0.0000 12.9326 Au
```

Properties
DOS(E_F) = 2.27 states/eV/cell
SG = No. 123
Crystal system = tetragonal
Total moment = 0.00 μB/f.u.
Calculated density = 11.416 g/cm³
Calculated volume = 148.0 Å³/cell
Formation enthalpy at 0 K = -526 meV/atom



Entry 7:
The following is a PBE calculation of a relaxed CuIrPt2 crystal, from Alexandria.

Structure (POSCAR):
```
CuIrPt2
1.0
4.7304 -0.0078 -0.0106
1.5421 4.4720 0.0106
-3.1306 -2.2400 2.7492
Cu Ir Pt
1 1 2
Cartesian
2.3680 -0.0079 1.3693 Cu
0.7739 2.2320 1.3799 Ir
0.0001 0.0001 0.0000 Pt
3.1362 2.2320 0.0000 Pt
```

Properties
DOS(E_F) = 3.97 states/eV/cell
SG = No. 139
Crystal system = tetragonal
Total moment = 0.00 μB/f.u.
Calculated density = 18.432 g/cm³
Polymorph energy (0 for the lowest one) = 0.062 eV/atom
Calculated volume = 58.2 Å³/cell
Formation enthalpy at 0 K = 9 meV/atom



Entry 8:
The following is a PBE calculation of a relaxed MgHg2I crystal, from Alexandria.

Structure (POSCAR):
```
MgHg2I
1.0
8.9091 0.0000 0.0000
0.0000 8.9091 0.0000
4.4546 4.4546 3.0524
I Mg Hg
2 2 4
Cartesian
0.0000 0.0000 0.0000 I
8.9091 4.4546 1.5262 I
4.4546 4.4546 0.0000 Mg
4.4546 8.9091 1.5262 Mg
6.2375 2.2273 0.7631 Hg
2.6716 6.6818 0.7631 Hg
6.6818 7.1262 2.2893 Hg
11.1364 10.6921 2.2893 Hg
```

Properties
DOS(E_F) = 2.54 states/eV/cell
SG = No. 122
Crystal system = tetragonal
Total moment = 0.00 μB/f.u.
Calculated density = 7.572 g/cm³
Polymorph energy (0 for the lowest one) = 0.000 eV/atom
Calculated volume = 242.3 Å³/cell
E_form (uncorrected) = -20.9 kJ/mol of atoms



Which of these has the highest calculated density? CuIrPt2



Which value of calculated volume does entry 5 give? 239.3 Å³/cell